VASP calculation (GGA-PBE) on a relaxed DyLuMnCu crystal.

Geometry as POSCAR:
```
DyLuMnCu
1.0
6.9285 0.0000 0.0000
0.0000 6.9285 0.0000
0.0000 0.0000 6.9285
Dy Lu Mn Cu
4 4 4 4
direct
0.0000 0.0000 0.0000
0.0000 0.5000 0.5000
0.5000 0.0000 0.5000
0.5000 0.5000 0.0000
0.0000 0.0000 0.5000
0.0000 0.5000 0.0000
0.5000 0.0000 0.0000
0.5000 0.5000 0.5000
0.2500 0.2500 0.2500
0.2500 0.7500 0.7500
0.7500 0.2500 0.7500
0.7500 0.7500 0.2500
0.2500 0.2500 0.7500
0.2500 0.7500 0.2500
0.7500 0.2500 0.2500
0.7500 0.7500 0.7500
```

Output
- mass density (Mg/m³) = 9.11
- N(E_F) (states/eV/cell) = 19.0
- energy of formation from the pure elements (eV per formula unit) = 0.037
- crystal system = cubic

---

VASP calculation (GGA-PBE) on a relaxed KZnN2O crystal.

Geometry as POSCAR:
```
KZnN2O
1.0
5.4898 0.0000 0.0000
0.0000 5.4898 0.0000
0.0000 0.0000 4.8716
K Zn N O
1 1 2 1
direct
0.0000 0.0000 0.0000
0.5000 0.5000 0.5000
0.0000 0.5000 0.0000
0.5000 0.0000 0.0000
0.0000 0.0000 0.5000
```

Output
- mass density (Mg/m³) = 1.68
- E_form (uncorrected) (eV per atom) = 2.1775
- N(E_F) (states/eV/cell) = 7.0
- crystal system = tetragonal

---

VASP calculation (GGA-PBE) on a relaxed AgOsRu4 crystal.

Geometry as POSCAR:
```
AgOsRu4
1.0
0.0000 3.5798 3.5798
3.5798 0.0000 3.5798
3.5798 3.5798 0.0000
Ag Os Ru
1 1 4
direct
0.0000 0.0000 0.0000
0.7500 0.7500 0.7500
0.3752 0.3752 0.3752
0.3752 0.3752 0.8745
0.3752 0.8745 0.3752
0.8745 0.3752 0.3752
```

Output
- mass density (Mg/m³) = 12.71
- N(E_F) (states/eV/cell) = 8.4
- energy of formation from the pure elements (eV per formula unit) = 4.512
- crystal system = cubic

---

VASP calculation (GGA-PBE) on a relaxed Ti2IO crystal.

Geometry as POSCAR:
```
Ti2IO
1.0
6.3067 0.0000 0.0000
0.0000 6.3067 0.0000
0.0000 0.0000 6.3067
Ti I O
8 4 4
direct
0.2500 0.2500 0.2500
0.2500 0.2500 0.7500
0.2500 0.7500 0.2500
0.2500 0.7500 0.7500
0.7500 0.2500 0.2500
0.7500 0.2500 0.7500
0.7500 0.7500 0.2500
0.7500 0.7500 0.7500
0.0000 0.0000 0.0000
0.0000 0.5000 0.5000
0.5000 0.0000 0.5000
0.5000 0.5000 0.0000
0.0000 0.0000 0.5000
0.0000 0.5000 0.0000
0.5000 0.0000 0.0000
0.5000 0.5000 0.5000
```

Output
- mass density (Mg/m³) = 6.32
- E_form (uncorrected) (eV per atom) = -0.2351
- N(E_F) (states/eV/cell) = 25.3
- distance to the lowest polymorph of the same formula (kJ/mol of formula units) = 290
- crystal system = cubic

---

VASP calculation (GGA-PBE) on a relaxed RbSiAu3 crystal.

Geometry as POSCAR:
```
RbSiAu3
1.0
4.9855 0.0000 0.0000
-2.4928 4.3176 0.0000
0.0000 0.0000 10.6528
Rb Si Au
2 2 6
direct
0.3333 0.6667 0.2500
0.6667 0.3333 0.7500
0.0000 0.0000 0.0000
0.0000 0.0000 0.5000
0.0000 0.0000 0.2500
0.0000 0.0000 0.7500
0.3333 0.6667 0.5338
0.3333 0.6667 0.9662
0.6667 0.3333 0.0338
0.6667 0.3333 0.4662
```

Output
- mass density (Mg/m³) = 10.20
- E_form (uncorrected) (eV per atom) = 0.1560
- N(E_F) (states/eV/cell) = 2.2
- distance to the lowest polymorph of the same formula (kJ/mol of formula units) = 208
- crystal system = hexagonal

---

VASP calculation (GGA-PBE) on a relaxed SrLaO2 crystal.

Geometry as POSCAR:
```
SrLaO2
1.0
3.8185 0.0000 0.0000
-1.9092 3.3069 0.0000
0.0000 0.0000 20.8612
Sr La O
3 3 6
direct
0.0000 0.0000 0.0000
0.3333 0.6667 0.6667
0.6667 0.3333 0.3333
0.0000 0.0000 0.5000
0.3333 0.6667 0.1667
0.6667 0.3333 0.8333
0.0000 0.0000 0.1134
0.0000 0.0000 0.8866
0.3333 0.6667 0.5533
0.3333 0.6667 0.7800
0.6667 0.3333 0.2200
0.6667 0.3333 0.4467
```

Output
- mass density (Mg/m³) = 4.89
- E_form (uncorrected) (eV per atom) = -2.6700
- N(E_F) (states/eV/cell) = 4.4
- distance to the lowest polymorph of the same formula (kJ/mol of formula units) = 0
- crystal system = trigonal

---

Question: mass density of number 2 (KZnN2O)?
Answer: 1.68 Mg/m³